No. 1
Fe4AsP | PBE | optimized geometry

a b c (Å): 4.7607 4.7607 4.7607
angles (deg): 60.00 60.00 60.00
Sites, in units of the cell vectors:
1 Fe 0.1248 0.1248 0.1248
2 Fe 0.1248 0.1248 0.6257
3 Fe 0.1248 0.6257 0.1248
4 Fe 0.6257 0.1248 0.1248
5 As 0.5000 0.5000 0.5000
6 P 0.7500 0.7500 0.7500

crystal system	cubic
energy of formation from the pure elements	2.0	eV per formula unit
density	7.2	g cm⁻³

=====

No. 2
FeAsP2Rh | PBE | optimized geometry

a b c (Å): 4.4330 4.4330 5.0035
angles (deg): 90.00 90.00 90.00
Sites, in units of the cell vectors:
1 Fe 0.0000 0.0000 0.0000
2 As 0.5000 0.5000 0.0000
3 P 0.0000 0.5000 0.5000
4 P 0.5000 0.0000 0.5000
5 Rh 0.5000 0.5000 0.5000

crystal system	tetragonal
energy of formation from the pure elements	5.6	eV per formula unit
density	5.0	g cm⁻³

=====

No. 3
FeSnAsP2 | PBE | optimized geometry

a b c (Å): 4.2084 4.2084 5.3397
angles (deg): 90.00 90.00 90.00
Sites, in units of the cell vectors:
1 Fe 0.0000 0.0000 0.0000
2 Sn 0.0000 0.0000 0.5000
3 As 0.5000 0.5000 0.5000
4 P 0.0000 0.5000 0.0000
5 P 0.5000 0.0000 0.0000

crystal system	tetragonal
energy of formation from the pure elements	1.6	eV per formula unit
density	5.5	g cm⁻³

=====

No. 4
SrFe2AsP | PBE | optimized geometry

a b c (Å): 6.3986 6.3986 6.3986
angles (deg): 144.70 144.70 50.78
Sites, in units of the cell vectors:
1 Sr 0.0000 0.0000 0.0000
2 Fe 0.2604 0.7604 0.5000
3 Fe 0.7604 0.2604 0.5000
4 As 0.6501 0.6501 0.0000
5 P 0.3488 0.3488 0.0000

crystal system	tetragonal
energy of formation from the pure elements	-3.4	eV per formula unit
density	5.8	g cm⁻³

=====

No. 5
UFeAsP | PBE | optimized geometry

a b c (Å): 3.8217 3.8217 9.1111
angles (deg): 90.00 90.00 90.00
Sites, in units of the cell vectors:
1 U 0.2500 0.2500 0.2474
2 U 0.7500 0.7500 0.7526
3 Fe 0.2500 0.7500 0.0000
4 Fe 0.7500 0.2500 0.0000
5 As 0.2500 0.7500 0.5000
6 As 0.7500 0.2500 0.5000
7 P 0.2500 0.2500 0.8651
8 P 0.7500 0.7500 0.1349

crystal system	tetragonal
energy of formation from the pure elements	-2.9	eV per formula unit
density	10.0	g cm⁻³

=====

No. 6
FeAs2PW | PBE | optimized geometry

a b c (Å): 4.9136 4.9136 4.6345
angles (deg): 90.00 90.00 90.00
Sites, in units of the cell vectors:
1 Fe 0.0000 0.0000 0.0000
2 As 0.0000 0.5000 0.5000
3 As 0.5000 0.0000 0.5000
4 P 0.5000 0.5000 0.0000
5 W 0.5000 0.5000 0.5000

crystal system	tetragonal
energy of formation from the pure elements	4.8	eV per formula unit
density	6.2	g cm⁻³

=====

No. 7
Fe2AsPW | PBE | optimized geometry

a b c (Å): 4.2028 4.2028 4.7230
angles (deg): 90.00 90.00 90.00
Sites, in units of the cell vectors:
1 Fe 0.0000 0.5000 0.0000
2 Fe 0.5000 0.0000 0.0000
3 As 0.0000 0.0000 0.0000
4 P 0.5000 0.5000 0.5000
5 W 0.0000 0.0000 0.5000

crystal system	tetragonal
energy of formation from the pure elements	6.8	eV per formula unit
density	8.0	g cm⁻³

=====

No. 8
PaFeAs2 | PBE | optimized geometry

a b c (Å): 6.2551 6.2551 5.4154
angles (deg): 101.37 101.37 129.96
Sites, in units of the cell vectors:
1 Pa 0.1347 0.8653 0.7500
2 Pa 0.8653 0.1347 0.2500
3 Fe 0.2700 0.7300 0.2500
4 Fe 0.7300 0.2700 0.7500
5 As 0.2106 0.4173 0.8714
6 As 0.4173 0.2106 0.3714
7 As 0.5827 0.7894 0.6286
8 As 0.7894 0.5827 0.1286

crystal system	monoclinic
energy relative to the lowest polymorph listed for this composition	113	meV per atom
energy of formation from the pure elements	-2.5	eV per formula unit
density	10.1	g cm⁻³

=====

No. 9
PaFe4As12 | PBE | optimized geometry

a b c (Å): 7.2034 7.2034 7.2034
angles (deg): 109.47 109.47 109.47
Sites, in units of the cell vectors:
1 Pa 0.0000 0.0000 0.0000
2 Fe 0.0000 0.0000 0.5000
3 Fe 0.0000 0.5000 0.0000
4 Fe 0.5000 0.0000 0.0000
5 Fe 0.5000 0.5000 0.5000
6 As 0.1560 0.3403 0.4963
7 As 0.1560 0.6597 0.8157
8 As 0.1843 0.8440 0.3403
9 As 0.3403 0.1843 0.8440
10 As 0.3403 0.4963 0.1560
11 As 0.4963 0.1560 0.3403
12 As 0.5037 0.8440 0.6597
13 As 0.6597 0.5037 0.8440
14 As 0.6597 0.8157 0.1560
15 As 0.8157 0.1560 0.6597
16 As 0.8440 0.3403 0.1843
17 As 0.8440 0.6597 0.5037

crystal system	cubic
energy of formation from the pure elements	-6.1	eV per formula unit
density	7.8	g cm⁻³

=====

No. 10
PaFeAs | PBE | optimized geometry

a b c (Å): 4.6509 4.6509 4.6509
angles (deg): 125.59 125.59 80.57
Sites, in units of the cell vectors:
1 Pa 0.0000 0.0000 0.0000
2 Fe 0.2868 0.2868 0.0000
3 As 0.6061 0.6061 0.0000

crystal system	tetragonal
energy of formation from the pure elements	-0.4	eV per formula unit
density	9.4	g cm⁻³

=====

No. 11
PaFeAs | PBE | optimized geometry

a b c (Å): 4.1435 4.1435 3.5848
angles (deg): 90.00 90.00 120.00
Sites, in units of the cell vectors:
1 Pa 0.0000 0.0000 0.0000
2 Fe 0.6667 0.3333 0.4972
3 As 0.3333 0.6667 0.5010

crystal system	trigonal
energy of formation from the pure elements	-2.1	eV per formula unit
density	11.3	g cm⁻³

=====

No. 12
Pa4Fe3As8 | PBE | optimized geometry

a b c (Å): 4.0363 4.0363 17.5845
angles (deg): 90.00 90.00 90.00
Sites, in units of the cell vectors:
1 Pa 0.0000 0.5000 0.1123
2 Pa 0.0000 0.5000 0.6243
3 Pa 0.5000 0.0000 0.3757
4 Pa 0.5000 0.0000 0.8877
5 Fe 0.0000 0.0000 0.0000
6 Fe 0.0000 0.0000 0.5000
7 Fe 0.5000 0.5000 0.5000
8 As 0.0000 0.0000 0.2453
9 As 0.0000 0.0000 0.7547
10 As 0.0000 0.5000 0.4248
11 As 0.0000 0.5000 0.9324
12 As 0.5000 0.0000 0.0676
13 As 0.5000 0.0000 0.5752
14 As 0.5000 0.5000 0.2449
15 As 0.5000 0.5000 0.7551

crystal system	tetragonal
energy of formation from the pure elements	-11.2	eV per formula unit
density	9.8	g cm⁻³

=====

Q: The lowest density belongs to which entry?
A: FeAsP2Rh